# Zr2MnBr (PBE-GGA, optimized geometry)
# * magnetic moment: 0.09 Bohr magnetons per cell
# * density of states at the Fermi level: 0.8053 states/eV per atom
# * energy above the lowest structure with this stoichiometry: 0.399 eV per atom
# * electronic total energy: -27.6 eV for the cell shown
# * ΔE_f (raw): 0.3 eV per formula unit
data_Zr2MnBr
_chemical_formula_sum 'Zr2 Mn1 Br1'
_space_group_name_H-M_alt 'P 4 m m'
_space_group_IT_number 99
_space_group_name_Hall 'P 4 -2'
_cell_length_a 3.613
_cell_length_b 3.613
_cell_length_c 6.643
_cell_angle_alpha 90.00
_cell_angle_beta 90.00
_cell_angle_gamma 90.00
loop_
_atom_site_label
_atom_site_type_symbol
_atom_site_fract_x
_atom_site_fract_y
_atom_site_fract_z
Zr1 Zr 0.000 0.000 0.000
Zr2 Zr 0.500 0.500 0.324
Mn1 Mn 0.500 0.500 0.965
Br1 Br 0.000 0.000 0.556